Entry 1:
BeHgAu (PBE-GGA, relaxed); calculated formation energy = 52.4 meV/atom; symmetry = Pm (6); total energy = -2.38 eV/atom; N(E_F) = 0.7 states/eV/f.u.; excess energy over the best structure of this formula in the dataset = 0.24 eV per formula unit
1.0
2.918 0.000 -0.044
0.000 3.383 0.000
-1.490 0.000 5.308
Hg Be Au
1 1 1
direct
0.768 0.500 0.313 Hg
0.475 0.500 0.711 Be
0.069 0.000 0.886 Au

---

Entry 2:
UIrRu2 (PBE-GGA, relaxed); calculated formation energy = -74.9 meV/atom; symmetry = R-3m (166); total energy = -9.75 eV/atom; N(E_F) = 6.9 states/eV/f.u.; excess energy over the best structure of this formula in the dataset = 1.64 eV per formula unit
1.0
-3.352 -2.620 1.305
0.671 -3.066 3.154
-1.871 0.728 4.245
Ru Ir U
2 1 1
direct
0.223 0.223 0.332 Ru
0.777 0.777 0.668 Ru
0.000 0.000 0.000 Ir
0.500 0.500 0.500 U

---

Entry 3:
LiNb3H (PBE-GGA, relaxed); symmetry = Pm-3m (221); total energy = -6.90 eV/atom; N(E_F) = 6.3 states/eV/f.u.; excess energy over the best structure of this formula in the dataset = 0.00 eV per formula unit
1.0
-3.027 -2.857 -0.021
2.554 -2.692 -1.885
1.280 -1.384 3.711
Nb Li H
3 1 1
direct
0.000 0.000 0.500 Nb
0.000 0.500 0.000 Nb
0.500 0.000 0.000 Nb
0.500 0.500 0.500 Li
0.000 0.000 0.000 H

---

Entry 4:
Tb12Er5Pu (PBE-GGA, relaxed); calculated formation energy = 132.3 meV/atom; symmetry = C2/m (12); total energy = -5.02 eV/atom; N(E_F) = 38.9 states/eV/f.u.
1.0
11.018 0.000 -0.105
5.509 8.773 -0.053
0.068 0.000 5.865
Er Tb Pu
5 12 1
direct
0.334 0.331 0.000 Er
0.832 0.337 0.500 Er
0.666 0.669 0.000 Er
0.500 0.000 0.500 Er
0.168 0.663 0.500 Er
0.840 0.000 0.489 Tb
0.168 0.333 0.492 Tb
0.332 0.000 0.011 Tb
0.160 0.000 0.511 Tb
0.832 0.668 0.508 Tb
0.499 0.333 0.508 Tb
0.997 0.333 0.992 Tb
0.329 0.667 0.992 Tb
0.003 0.667 0.008 Tb
0.501 0.668 0.492 Tb
0.671 0.333 0.008 Tb
0.668 0.000 0.989 Tb
0.000 0.000 0.000 Pu

---

Entry 5:
Li4MgPd2 (PBE-GGA, relaxed); calculated formation energy = -307.9 meV/atom; symmetry = P1 (1); total energy = -3.11 eV/atom; N(E_F) = 1.9 states/eV/f.u.; excess energy over the best structure of this formula in the dataset = 0.00 eV per formula unit
1.0
6.848 -0.189 0.527
-0.433 6.677 -2.032
-2.597 -4.849 6.112
Pd Li Mg
4 8 2
direct
0.196 0.312 0.797 Pd
0.610 0.563 0.485 Pd
0.698 0.802 0.272 Pd
0.548 0.365 0.699 Pd
0.283 0.529 0.604 Li
0.494 0.192 0.929 Li
0.894 0.429 0.637 Li
0.380 0.765 0.371 Li
0.057 0.875 0.233 Li
0.820 0.197 0.803 Li
0.419 0.947 0.164 Li
0.744 0.970 0.045 Li
0.144 0.139 0.035 Mg
0.963 0.666 0.426 Mg

---

Entry 6:
Ba2YPdO5 (PBE-GGA, relaxed); symmetry = Cmc2_1 (36); total energy = -6.62 eV/atom; N(E_F) = 2.6 states/eV/f.u.
1.0
-1.057 -3.174 1.254
7.001 -0.946 -1.584
2.975 3.402 11.117
Ba O Pd Y
4 10 2 2
direct
0.851 0.701 0.807 Ba
0.096 0.192 0.686 Ba
0.904 0.808 0.186 Ba
0.149 0.299 0.307 Ba
0.333 0.666 0.398 O
0.628 0.256 0.489 O
0.723 0.446 0.141 O
0.372 0.744 0.989 O
0.484 0.969 0.783 O
0.667 0.334 0.898 O
0.277 0.554 0.641 O
0.516 0.031 0.283 O
0.951 0.901 0.550 O
0.049 0.099 0.050 O
0.480 0.959 0.449 Pd
0.520 0.041 0.949 Pd
0.793 0.586 0.522 Y
0.207 0.414 0.022 Y

---

Entry 7:
Tm6Zn2Ni (PBE-GGA, relaxed); calculated formation energy = -58.8 meV/atom; symmetry = C2/m (12); total energy = -3.97 eV/atom; N(E_F) = 10.2 states/eV/f.u.; excess energy over the best structure of this formula in the dataset = 1.27 eV per formula unit
1.0
4.849 0.000 -0.182
0.000 6.822 0.000
-2.147 -3.411 7.216
Ni Tm Zn
1 6 2
direct
0.000 0.000 0.000 Ni
0.500 0.239 0.000 Tm
0.840 0.085 0.680 Tm
0.160 0.915 0.320 Tm
0.840 0.595 0.680 Tm
0.500 0.761 0.000 Tm
0.160 0.405 0.320 Tm
0.667 0.667 0.334 Zn
0.333 0.333 0.666 Zn

---

Entry 8:
BC3 (PBE-GGA, relaxed); calculated formation energy = 325.1 meV/atom; symmetry = P2/m (10); total energy = -8.26 eV/atom; N(E_F) = 0.3 states/eV/f.u.; excess energy over the best structure of this formula in the dataset = 0.34 eV per formula unit
1.0
4.503 -0.072 0.000
-1.570 4.290 0.000
0.000 0.000 2.607
C B
6 2
direct
0.376 0.126 0.000 C
0.881 0.638 0.000 C
0.494 0.006 0.500 C
0.881 0.119 0.500 C
0.494 0.487 0.000 C
0.999 0.999 0.000 C
0.424 0.639 0.500 B
0.951 0.486 0.500 B

---

Entry 9:
TmZr4 (PBE-GGA, relaxed); calculated formation energy = 55.5 meV/atom; symmetry = Imma (74); total energy = -7.68 eV/atom; N(E_F) = 6.8 states/eV/f.u.; excess energy over the best structure of this formula in the dataset = 0.00 eV per formula unit
1.0
4.796 0.000 -1.401
-0.719 5.914 -2.462
-0.092 0.054 8.596
Zr Tm
8 2
direct
0.893 0.643 0.786 Zr
0.107 0.357 0.214 Zr
0.500 0.500 0.000 Zr
0.700 0.691 0.400 Zr
0.500 0.000 0.000 Zr
0.300 0.309 0.600 Zr
0.700 0.210 0.400 Zr
0.300 0.790 0.600 Zr
0.108 0.858 0.216 Tm
0.892 0.142 0.784 Tm

---

Entry 10:
Pm3DyAg7 (PBE-GGA, relaxed); calculated formation energy = -157.3 meV/atom; symmetry = Cmcm (63); total energy = -3.69 eV/atom; N(E_F) = 7.3 states/eV/f.u.
1.0
3.774 0.000 0.000
-1.887 10.540 0.000
0.000 0.000 13.851
Pm Ag Dy
6 14 2
direct
0.127 0.254 0.463 Pm
0.222 0.443 0.750 Pm
0.873 0.746 0.537 Pm
0.778 0.557 0.250 Pm
0.873 0.746 0.963 Pm
0.127 0.254 0.037 Pm
0.271 0.542 0.068 Ag
0.390 0.781 0.149 Ag
0.518 0.037 0.409 Ag
0.386 0.772 0.750 Ag
0.271 0.542 0.432 Ag
0.729 0.458 0.932 Ag
0.390 0.781 0.351 Ag
0.518 0.037 0.091 Ag
0.482 0.963 0.591 Ag
0.729 0.458 0.568 Ag
0.610 0.219 0.649 Ag
0.610 0.219 0.851 Ag
0.614 0.228 0.250 Ag
0.482 0.963 0.909 Ag
0.008 0.015 0.750 Dy
0.992 0.985 0.250 Dy